# 1
# KBe3F PBE-GGA relaxed
data_KBe3F
_cell_length_a 6.338
_cell_length_b 6.338
_cell_length_c 6.338
_cell_angle_alpha 90.00
_cell_angle_beta 90.00
_cell_angle_gamma 90.00
_symmetry_space_group_name_H-M 'P m -3 m'
_symmetry_Int_Tables_number 221
_symmetry_space_group_name_Hall '-P 4 2 3'
loop_
_atom_site_label
_atom_site_type_symbol
_atom_site_fract_x
_atom_site_fract_y
_atom_site_fract_z
K1 K 0.000 0.000 0.000
Be1 Be 0.000 0.000 0.500
F1 F 0.500 0.500 0.500
# offset from the most stable computed form = 0.916 eV/atom

***

# 2
# KBe3F PBE-GGA relaxed
data_KBe3F
_cell_length_a 4.480
_cell_length_b 4.480
_cell_length_c 4.480
_cell_angle_alpha 90.00
_cell_angle_beta 90.00
_cell_angle_gamma 90.00
_symmetry_space_group_name_H-M 'P m -3 m'
_symmetry_Int_Tables_number 221
_symmetry_space_group_name_Hall '-P 4 2 3'
loop_
_atom_site_label
_atom_site_type_symbol
_atom_site_fract_x
_atom_site_fract_y
_atom_site_fract_z
K1 K 0.000 0.000 0.000
Be1 Be 0.000 0.500 0.500
F1 F 0.500 0.500 0.500
# offset from the most stable computed form = 0.000 eV/atom

***

no.,raw formation energy (eV per atom)
1,1.777
2,0.861